No. 1
HfSi3C: single point on PBEsol structure, meta-GGA SCAN.

Output
- ΔE_f (raw): 2244 meV per atom
- SG: Pm-3m (221)

abc: 4.987 4.987 4.987
angles: 90.00 90.00 90.00
Site moments in Bohr magnetons follow the coordinates.
Fractional positions:
1 Si 0.000 0.000 0.500  0.00
2 Si 0.000 0.500 0.000  0.00
3 Si 0.500 0.000 0.000  0.00
4 Hf 0.000 0.000 0.000  -0.06
5 C 0.500 0.500 0.500  0.88

No. 2
Hf2SnC: single point on PBEsol structure, meta-GGA SCAN.

Output
- ΔH_f (0 K): -0.8417 eV/atom
- SG: P6_3/mmc (194)

abc: 3.305 3.305 14.329
angles: 90.00 90.00 120.00
Fractional positions:
1 Sn 0.333 0.667 0.750
2 Sn 0.667 0.333 0.250
3 C 0.000 0.000 0.500
4 C 0.000 0.000 0.000
5 Hf 0.333 0.667 0.415
6 Hf 0.333 0.667 0.085
7 Hf 0.667 0.333 0.585
8 Hf 0.667 0.333 0.915

No. 3
Sr3HfC: single point on PBEsol structure, meta-GGA SCAN.

Output
- ΔH_f (0 K): 0.9223 eV/atom
- SG: Pm-3m (221)

abc: 5.373 5.373 5.373
angles: 90.00 90.00 90.00
Site moments in Bohr magnetons follow the coordinates.
Fractional positions:
1 Hf 0.500 0.500 0.500  0.92
2 Sr 0.000 0.500 0.000  0.01
3 Sr 0.000 0.000 0.500  0.01
4 Sr 0.500 0.000 0.000  0.01
5 C 0.000 0.000 0.000  -0.53

Ordered size of the total moment results: 1.54 0.00 0.66; unit μB per formula unit.